[1]
This record from the Alexandria database describes YTiBe2O after structural relaxation. The functional is PBE.

a b c (Å): 4.7006 4.7006 3.7739
angles (deg): 90.00 90.00 90.00
Atoms (fractional coordinates):
Y1 0.0000 0.0000 0.0000
Ti1 0.5000 0.5000 0.5000
Be1 0.0000 0.5000 0.5000
Be2 0.5000 0.0000 0.5000
O1 0.5000 0.5000 0.0000

The value obtained for the volume is 83 Å³ per cell. The total energy comes out at -0.414 Ry per atom. For the uncorrected formation energy, the calculation gives -1.4 eV/f.u.

[2]
This record from the Alexandria database describes BeTlO2 after structural relaxation. The functional is PBE.

a b c (Å): 5.6980 6.7295 4.9262
angles (deg): 90.00 90.00 90.00
Atoms (fractional coordinates):
Be1 0.0254 0.1278 0.0000
Be2 0.4746 0.6278 0.5000
Be3 0.5254 0.3722 0.0000
Be4 0.9746 0.8722 0.5000
Tl1 0.1092 0.6014 0.9955
Tl2 0.3908 0.1014 0.4955
Tl3 0.6092 0.8986 0.9955
Tl4 0.8908 0.3986 0.4955
O1 0.0073 0.0871 0.6693
O2 0.2234 0.7386 0.5832
O3 0.2766 0.2386 0.0832
O4 0.4927 0.5871 0.1693
O5 0.5073 0.4129 0.6693
O6 0.7234 0.7614 0.5832
O7 0.7766 0.2614 0.0832
O8 0.9927 0.9129 0.1693

The value obtained for the volume is 189 Å³ per cell. As for the energy relative to the lowest polymorph listed for this composition: 0.0000 eV/atom. The total energy comes out at -0.403 Ry per atom. For the uncorrected formation energy, the calculation gives -5.9 eV/f.u.

[3]
This record from the Alexandria database describes Be3TlO after structural relaxation. The functional is PBE.

a b c (Å): 4.5185 4.5185 4.5185
angles (deg): 90.00 90.00 90.00
Atoms (fractional coordinates):
Be1 0.0000 0.0000 0.5000
Be2 0.0000 0.5000 0.0000
Be3 0.5000 0.0000 0.0000
Tl1 0.0000 0.0000 0.0000
O1 0.5000 0.5000 0.5000

The value obtained for the volume is 92 Å³ per cell. As for the energy relative to the lowest polymorph listed for this composition: 1.3678 eV/atom. The total energy comes out at -0.173 Ry per atom. For the uncorrected formation energy, the calculation gives 6.7 eV/f.u.

[4]
This record from the Alexandria database describes BeTlO3 after structural relaxation. The functional is PBE.

a b c (Å): 3.5948 3.5948 3.5948
angles (deg): 90.00 90.00 90.00
Atoms (fractional coordinates):
Be1 0.0000 0.0000 0.0000
Tl1 0.5000 0.5000 0.5000
O1 0.0000 0.0000 0.5000
O2 0.0000 0.5000 0.0000
O3 0.5000 0.0000 0.0000

The value obtained for the volume is 46 Å³ per cell. The total energy comes out at -0.362 Ry per atom. For the uncorrected formation energy, the calculation gives -3.7 eV/f.u.

[5]
This record from the Alexandria database describes BeTlO2 after structural relaxation. The functional is PBE.

a b c (Å): 4.0468 4.0468 4.0468
angles (deg): 60.00 60.00 60.00
Atoms (fractional coordinates):
Be1 0.0000 0.0000 0.0000
Tl1 0.5000 0.5000 0.5000
O1 0.2500 0.2500 0.2500
O2 0.7500 0.7500 0.7500

The value obtained for the volume is 47 Å³ per cell. As for the energy relative to the lowest polymorph listed for this composition: 1.4931 eV/atom. The total energy comes out at -0.294 Ry per atom. For the uncorrected formation energy, the calculation gives 0.0 eV/f.u.

[6]
This record from the Alexandria database describes BeTlO2 after structural relaxation. The functional is PBE.

a b c (Å): 5.7957 5.7957 5.7957
angles (deg): 37.40 37.40 37.40
Atoms (fractional coordinates):
Be1 0.0000 0.0000 0.0000
Tl1 0.5000 0.5000 0.5000
O1 0.0892 0.0892 0.0892
O2 0.9108 0.9108 0.9108

The value obtained for the volume is 64 Å³ per cell. As for the energy relative to the lowest polymorph listed for this composition: 0.3067 eV/atom. The total energy comes out at -0.381 Ry per atom. For the uncorrected formation energy, the calculation gives -4.7 eV/f.u.